[1]
! PrSiPt, relaxed, DFT PBEsol; values from VASP
&SYSTEM
  ibrav = 0, nat = 6, ntyp = 3
/
ATOMIC_SPECIES
Pr 140.91 Pr.upf
Si 28.09 Si.upf
Pt 195.08 Pt.upf
CELL_PARAMETERS angstrom
-2.875 -2.670 -1.499
-1.399 -0.683 3.901
-2.508 7.083 -1.920
ATOMIC_POSITIONS crystal
Pr 0.501 0.001 0.002
Pr 0.251 0.251 0.502
Si 0.082 0.582 0.163
Si 0.832 0.832 0.663
Pt 0.913 0.413 0.826
Pt 0.663 0.663 0.326
! energy relative to the elements, uncorrected: -1127.8 meV/atom

***

[2]
! Pr3Si11Pt23, relaxed, DFT PBEsol; values from VASP
&SYSTEM
  ibrav = 0, nat = 74, ntyp = 3
/
ATOMIC_SPECIES
Pr 140.91 Pr.upf
Si 28.09 Si.upf
Pt 195.08 Pt.upf
CELL_PARAMETERS angstrom
11.920 0.000 0.000
5.960 10.323 0.000
5.960 3.441 9.733
ATOMIC_POSITIONS crystal
Pr 0.500 0.500 0.000
Pr 0.000 0.500 0.000
Pr 0.000 0.500 0.500
Pr 0.000 0.000 0.500
Pr 0.500 0.000 0.500
Pr 0.500 0.000 0.000
Si 0.171 0.171 0.829
Si 0.829 0.171 0.829
Si 0.829 0.171 0.171
Si 0.829 0.829 0.171
Si 0.171 0.829 0.171
Si 0.171 0.829 0.829
Si 0.835 0.496 0.835
Si 0.835 0.835 0.496
Si 0.835 0.835 0.835
Si 0.496 0.835 0.835
Si 0.165 0.504 0.165
Si 0.165 0.165 0.504
Si 0.165 0.165 0.165
Si 0.504 0.165 0.165
Si 0.606 0.181 0.606
Si 0.606 0.606 0.181
Si 0.606 0.606 0.606
Si 0.181 0.606 0.606
Si 0.394 0.819 0.394
Si 0.394 0.394 0.819
Si 0.394 0.394 0.394
Si 0.819 0.394 0.394
Pt 0.917 0.249 0.917
Pt 0.917 0.917 0.249
Pt 0.917 0.917 0.917
Pt 0.249 0.917 0.917
Pt 0.083 0.751 0.083
Pt 0.083 0.083 0.751
Pt 0.083 0.083 0.083
Pt 0.751 0.083 0.083
Pt 0.692 0.925 0.692
Pt 0.692 0.692 0.925
Pt 0.692 0.692 0.692
Pt 0.925 0.692 0.692
Pt 0.308 0.075 0.308
Pt 0.308 0.308 0.075
Pt 0.308 0.308 0.308
Pt 0.075 0.308 0.308
Pt 0.374 0.374 0.626
Pt 0.626 0.374 0.626
Pt 0.626 0.374 0.374
Pt 0.626 0.626 0.374
Pt 0.374 0.626 0.374
Pt 0.374 0.626 0.626
Pt 0.748 0.421 0.084
Pt 0.084 0.421 0.748
Pt 0.748 0.421 0.748
Pt 0.748 0.084 0.421
Pt 0.748 0.748 0.421
Pt 0.084 0.748 0.421
Pt 0.084 0.748 0.748
Pt 0.748 0.748 0.084
Pt 0.748 0.084 0.748
Pt 0.421 0.748 0.748
Pt 0.421 0.084 0.748
Pt 0.421 0.748 0.084
Pt 0.252 0.579 0.916
Pt 0.916 0.579 0.252
Pt 0.252 0.579 0.252
Pt 0.252 0.916 0.579
Pt 0.252 0.252 0.579
Pt 0.916 0.252 0.579
Pt 0.916 0.252 0.252
Pt 0.252 0.252 0.916
Pt 0.252 0.916 0.252
Pt 0.579 0.252 0.252
Pt 0.579 0.916 0.252
Pt 0.579 0.252 0.916
! energy relative to the elements, uncorrected: -923.1 meV/atom

***

[3]
! Pr2Si5Pt3, relaxed, DFT PBEsol; values from VASP
&SYSTEM
  ibrav = 0, nat = 20, ntyp = 3
/
ATOMIC_SPECIES
Pr 140.91 Pr.upf
Si 28.09 Si.upf
Pt 195.08 Pt.upf
CELL_PARAMETERS angstrom
6.049 0.000 0.000
3.024 7.628 0.005
3.024 1.158 7.540
ATOMIC_POSITIONS crystal
Pr 0.371 0.862 0.396
Pr 0.629 0.138 0.604
Pr 0.871 0.396 0.862
Pr 0.129 0.604 0.138
Si 0.750 0.500 0.500
Si 0.250 0.500 0.500
Si 0.521 0.229 0.229
Si 0.979 0.771 0.771
Si 0.479 0.771 0.771
Si 0.021 0.229 0.229
Si 0.113 0.036 0.738
Si 0.887 0.964 0.262
Si 0.613 0.738 0.036
Si 0.387 0.262 0.964
Pt 0.750 0.000 0.000
Pt 0.250 0.000 0.000
Pt 0.136 0.254 0.474
Pt 0.864 0.746 0.526
Pt 0.636 0.474 0.254
Pt 0.364 0.526 0.746
! energy relative to the elements, uncorrected: -1056.7 meV/atom

***

[4]
! RbPrTe4, relaxed, DFT PBEsol; values from VASP
&SYSTEM
  ibrav = 0, nat = 12, ntyp = 3
/
ATOMIC_SPECIES
Rb 85.47 Rb.upf
Pr 140.91 Pr.upf
Te 127.60 Te.upf
CELL_PARAMETERS angstrom
-2.518 -6.115 1.821
2.043 1.082 6.458
-8.055 3.882 1.897
ATOMIC_POSITIONS crystal
Rb 0.500 0.500 0.000
Rb 0.000 0.000 0.000
Pr 0.500 0.500 0.500
Pr 0.000 0.000 0.500
Te 0.355 0.855 0.291
Te 0.145 0.355 0.291
Te 0.855 0.645 0.291
Te 0.355 0.145 0.709
Te 0.645 0.855 0.709
Te 0.645 0.145 0.291
Te 0.855 0.355 0.709
Te 0.145 0.645 0.709
! energy relative to the elements, uncorrected: -950.0 meV/atom

***

[5]
! Pr3Rh2, relaxed, DFT PBEsol; values from VASP
&SYSTEM
  ibrav = 0, nat = 15, ntyp = 2
/
ATOMIC_SPECIES
Pr 140.91 Pr.upf
Rh 102.91 Rh.upf
CELL_PARAMETERS angstrom
-6.720 -3.154 -1.140
-2.238 -3.115 6.457
-5.215 4.460 3.054
ATOMIC_POSITIONS crystal
Pr 0.000 0.000 0.000
Pr 0.795 0.795 0.795
Pr 0.205 0.205 0.205
Pr 0.165 0.391 0.665
Pr 0.665 0.165 0.391
Pr 0.391 0.665 0.165
Pr 0.835 0.609 0.335
Pr 0.335 0.835 0.609
Pr 0.609 0.335 0.835
Rh 0.958 0.159 0.590
Rh 0.590 0.958 0.159
Rh 0.159 0.590 0.958
Rh 0.042 0.841 0.410
Rh 0.410 0.042 0.841
Rh 0.841 0.410 0.042
! formation energy from the elements: -0.53 eV/atom

***

[6]
! Pr2SiRh3, relaxed, DFT PBEsol; values from VASP
&SYSTEM
  ibrav = 0, nat = 6, ntyp = 3
/
ATOMIC_SPECIES
Pr 140.91 Pr.upf
Si 28.09 Si.upf
Rh 102.91 Rh.upf
CELL_PARAMETERS angstrom
-3.170 -1.248 -3.783
2.294 -0.272 -4.536
0.625 -4.774 -1.652
ATOMIC_POSITIONS crystal
Pr 0.628 0.628 0.628
Pr 0.372 0.372 0.372
Si 0.000 0.000 0.000
Rh 0.000 0.000 0.500
Rh 0.500 0.000 0.000
Rh 0.000 0.500 0.000
! energy relative to the elements, uncorrected: -835.5 meV/atom

***

[7]
! Pr3Sn13Rh4, relaxed, DFT PBEsol; values from VASP
&SYSTEM
  ibrav = 0, nat = 40, ntyp = 3
/
ATOMIC_SPECIES
Pr 140.91 Pr.upf
Sn 118.71 Sn.upf
Rh 102.91 Rh.upf
CELL_PARAMETERS angstrom
9.669 0.000 0.000
0.000 9.669 0.000
0.000 0.000 9.669
ATOMIC_POSITIONS crystal
Pr 0.000 0.500 0.750
Pr 0.250 0.000 0.500
Pr 0.000 0.500 0.250
Pr 0.750 0.000 0.500
Pr 0.500 0.250 0.000
Pr 0.500 0.750 0.000
Sn 0.347 0.500 0.807
Sn 0.000 0.847 0.693
Sn 0.307 0.000 0.153
Sn 0.153 0.307 0.000
Sn 0.693 0.000 0.847
Sn 0.000 0.000 0.000
Sn 0.653 0.500 0.807
Sn 0.193 0.653 0.500
Sn 0.807 0.653 0.500
Sn 0.000 0.847 0.307
Sn 0.500 0.807 0.347
Sn 0.347 0.500 0.193
Sn 0.847 0.693 0.000
Sn 0.307 0.000 0.847
Sn 0.500 0.193 0.653
Sn 0.500 0.193 0.347
Sn 0.847 0.307 0.000
Sn 0.653 0.500 0.193
Sn 0.807 0.347 0.500
Sn 0.500 0.500 0.500
Sn 0.193 0.347 0.500
Sn 0.000 0.153 0.307
Sn 0.000 0.153 0.693
Sn 0.500 0.807 0.653
Sn 0.693 0.000 0.153
Sn 0.153 0.693 0.000
Rh 0.750 0.750 0.250
Rh 0.250 0.750 0.250
Rh 0.750 0.250 0.250
Rh 0.250 0.250 0.750
Rh 0.750 0.250 0.750
Rh 0.750 0.750 0.750
Rh 0.250 0.250 0.250
Rh 0.250 0.750 0.750
! formation energy from the elements: -0.63 eV/atom

***

[8]
! PrSnRh, relaxed, DFT PBEsol; values from VASP
&SYSTEM
  ibrav = 0, nat = 9, ntyp = 3
/
ATOMIC_SPECIES
Pr 140.91 Pr.upf
Sn 118.71 Sn.upf
Rh 102.91 Rh.upf
CELL_PARAMETERS angstrom
4.137 0.000 0.000
0.000 7.401 0.000
0.000 -3.700 6.409
ATOMIC_POSITIONS crystal
Pr 0.500 0.414 0.414
Pr 0.500 0.586 0.000
Pr 0.500 0.000 0.586
Sn 0.000 0.751 0.751
Sn 0.000 0.249 0.000
Sn 0.000 0.000 0.249
Rh 0.500 0.000 0.000
Rh 0.000 0.667 0.333
Rh 0.000 0.333 0.667
! formation energy from the elements: -0.85 eV/atom

***

[9]
! PrSn4Rh2, relaxed, DFT PBEsol; values from VASP
&SYSTEM
  ibrav = 0, nat = 28, ntyp = 3
/
ATOMIC_SPECIES
Pr 140.91 Pr.upf
Sn 118.71 Sn.upf
Rh 102.91 Rh.upf
CELL_PARAMETERS angstrom
4.482 0.000 0.000
0.000 7.101 0.000
0.000 0.000 18.393
ATOMIC_POSITIONS crystal
Pr 0.250 0.000 0.859
Pr 0.250 0.500 0.359
Pr 0.750 0.000 0.141
Pr 0.750 0.500 0.641
Sn 0.250 0.299 0.182
Sn 0.250 0.201 0.682
Sn 0.750 0.701 0.818
Sn 0.750 0.799 0.318
Sn 0.250 0.720 0.195
Sn 0.250 0.780 0.695
Sn 0.750 0.280 0.805
Sn 0.750 0.220 0.305
Sn 0.250 0.865 0.032
Sn 0.250 0.635 0.532
Sn 0.750 0.135 0.968
Sn 0.750 0.365 0.468
Sn 0.250 0.521 0.932
Sn 0.250 0.979 0.432
Sn 0.750 0.479 0.068
Sn 0.750 0.021 0.568
Rh 0.250 0.251 0.034
Rh 0.250 0.249 0.534
Rh 0.750 0.749 0.966
Rh 0.750 0.751 0.466
Rh 0.250 0.014 0.287
Rh 0.250 0.486 0.787
Rh 0.750 0.986 0.713
Rh 0.750 0.514 0.213
! formation energy from the elements: -0.68 eV/atom

***

no.,calculated volume (Å³/f.u.)
1,63
2,599
3,174
4,215
5,124
6,107
7,452
8,65
9,146